A relaxed Ca2Ni crystal. Source: Alexandria, functional GGA-PBE.

Its symmetry is No. 194. Its formation energy is 1.91 kcal/mol of atoms.

Cell: 5.072 5.072 6.864 Å, 90.00 90.00 120.00°
Fractional coordinates of all 6 atoms:
Ca 0.000 0.000 0.000
Ca 0.000 0.000 0.500
Ca 0.333 0.667 0.750
Ca 0.667 0.333 0.250
Ni 0.333 0.667 0.250
Ni 0.667 0.333 0.750

A relaxed CsPa2SeO8 crystal. Source: Alexandria, functional GGA-PBE.

Its symmetry is No. 12. The calculation puts the uncorrected formation energy at -2.222 eV per atom.

Cell: 5.662 5.663 7.734 Å, 78.61 78.63 71.78°
Fractional coordinates of all 12 atoms:
Cs 0.000 0.000 0.500
Pa 0.430 0.430 0.737
Pa 0.570 0.570 0.263
Se 0.000 0.000 0.000
O 0.247 0.819 0.162
O 0.790 0.790 0.123
O 0.819 0.248 0.162
O 0.753 0.181 0.838
O 0.210 0.210 0.877
O 0.181 0.752 0.838
O 0.631 0.631 0.524
O 0.369 0.369 0.476

A relaxed SrMgNi2 crystal. Source: Alexandria, functional GGA-PBE.

Its symmetry is No. 38. Its formation energy is 0.23 kcal/mol of atoms.

Cell: 3.996 4.014 5.686 Å, 69.35 90.00 90.00°
Fractional coordinates of all 4 atoms:
Mg 0.500 0.749 0.877
Ni 0.000 0.190 0.994
Ni 0.500 0.090 0.196
Sr 0.000 0.471 0.433

A relaxed CrHg2Os crystal. Source: Alexandria, functional GGA-PBE.

Its symmetry is No. 8. As for the energy above the most stable polymorph in this dataset: 0.324 eV/atom. Its formation energy is 15.97 kcal/mol of atoms.

Cell: 5.914 5.914 4.848 Å, 65.58 65.58 28.51°
Each line ends with the local moment (μB).
Fractional coordinates of all 4 atoms:
Cr 0.783 0.783 0.717  2.32
Hg 0.021 0.021 0.979  -0.01
Hg 0.230 0.230 0.270  -0.01
Os 0.466 0.466 0.534  -0.47

A relaxed LaPaRe4 crystal. Source: Alexandria, functional GGA-PBE.

Its symmetry is No. 216. Its formation energy is 1.13 kcal/mol of atoms.

Cell: 5.479 5.479 5.479 Å, 60.00 60.00 60.00°
Fractional coordinates of all 6 atoms:
Re 0.625 0.625 0.125
Re 0.625 0.125 0.625
Re 0.625 0.625 0.625
Re 0.125 0.625 0.625
Pa 0.000 0.000 0.000
La 0.250 0.250 0.250

A relaxed BaMgAlH6 crystal. Source: Alexandria, functional GGA-PBE.

Its symmetry is No. 149.

Cell: 4.886 4.886 5.096 Å, 90.00 90.00 60.00°
Fractional coordinates of all 9 atoms:
Ba 0.000 0.000 0.000
Mg 0.667 0.667 0.500
Al 0.333 0.333 0.500
H 0.020 0.489 0.262
H 0.489 0.020 0.738
H 0.491 0.489 0.738
H 0.020 0.491 0.738
H 0.489 0.491 0.262
H 0.491 0.020 0.262

A relaxed Cd2TcRuO6 crystal. Source: Alexandria, functional GGA-PBE.

Its symmetry is No. 99. The calculation puts the uncorrected formation energy at -0.781 eV per atom.

Cell: 4.849 5.329 5.329 Å, 90.00 90.00 90.00°
Each line ends with the local moment (μB).
Fractional coordinates of all 10 atoms:
Cd 0.017 0.500 0.000  0.02
Cd 0.017 0.000 0.500  0.02
Tc 0.561 0.000 0.000  0.87
Ru 0.603 0.500 0.500  0.61
O 0.710 0.244 0.244  0.05
O 0.710 0.244 0.756  0.05
O 0.213 0.500 0.500  0.06
O 0.193 0.000 0.000  0.04
O 0.710 0.756 0.756  0.05
O 0.710 0.756 0.244  0.05

A relaxed Bi4Cl2O5 crystal. Source: Alexandria, functional GGA-PBE.

Its symmetry is No. 12. The calculation puts the uncorrected formation energy at -1.086 eV per atom.

Cell: 7.316 8.278 7.900 Å, 130.74 90.00 116.22°
Fractional coordinates of all 11 atoms:
Bi 0.528 0.055 0.796
Bi 0.472 0.945 0.204
Bi 0.807 0.614 0.588
Bi 0.193 0.386 0.412
Cl 0.858 0.716 0.982
Cl 0.142 0.284 0.018
O 0.190 0.745 0.643
O 0.810 0.255 0.357
O 0.500 0.000 0.500
O 0.555 0.745 0.643
O 0.445 0.255 0.357

A relaxed KNa2N2 crystal. Source: Alexandria, functional GGA-PBE.

Its symmetry is No. 127. The calculation puts the uncorrected formation energy at 0.064 eV per atom.

Cell: 6.774 6.774 7.259 Å, 90.00 90.00 90.00°
Each line ends with the local moment (μB).
Fractional coordinates of all 10 atoms:
Na 0.186 0.686 0.500  0.00
Na 0.686 0.814 0.500  0.00
Na 0.814 0.314 0.500  0.00
Na 0.314 0.186 0.500  0.00
K 0.000 0.000 0.000  0.01
K 0.500 0.500 0.000  0.01
N 0.440 0.940 0.000  0.14
N 0.940 0.560 0.000  0.14
N 0.560 0.060 0.000  0.14
N 0.060 0.440 0.000  0.14

A relaxed Pm5Tl2Pd2 crystal. Source: Alexandria, functional GGA-PBE.

Its symmetry is No. 64. Its formation energy is -11.35 kcal/mol of atoms.

Cell: 7.396 8.735 9.130 Å, 118.58 90.00 90.00°
Fractional coordinates of all 18 atoms:
Pm 0.000 0.000 0.000
Pm 0.500 0.500 0.000
Pm 0.848 0.804 0.247
Pm 0.152 0.442 0.247
Pm 0.348 0.942 0.247
Pm 0.652 0.304 0.247
Pm 0.152 0.196 0.753
Pm 0.848 0.558 0.753
Pm 0.652 0.058 0.753
Pm 0.348 0.696 0.753
Tl 0.000 0.212 0.425
Tl 0.500 0.712 0.425
Tl 0.000 0.788 0.575
Tl 0.500 0.288 0.575
Pd 0.635 0.882 0.000
Pd 0.365 0.118 0.000
Pd 0.135 0.618 0.000
Pd 0.865 0.382 0.000

A relaxed NaLa3Os crystal. Source: Alexandria, functional GGA-PBE.

Its symmetry is No. 1. As for the energy above the most stable polymorph in this dataset: 0.062 eV/atom. Its formation energy is -0.66 kcal/mol of atoms.

Cell: 6.334 6.331 10.470 Å, 98.91 98.76 59.72°
Fractional coordinates of all 10 atoms:
Na 0.511 0.479 0.962
Na 0.859 0.822 0.093
La 0.221 0.185 0.308
La 0.147 0.115 0.746
La 0.447 0.413 0.613
La 0.574 0.538 0.319
La 0.921 0.886 0.441
La 0.794 0.762 0.736
Os 0.936 0.398 0.527
Os 0.432 0.902 0.527

A relaxed Li2SiNiW crystal. Source: Alexandria, functional GGA-PBE.

Its symmetry is No. 123. The calculation puts the uncorrected formation energy at 1.614 eV per atom.

Cell: 4.865 4.417 4.865 Å, 90.00 90.00 90.00°
Each line ends with the local moment (μB).
Fractional coordinates of all 5 atoms:
Ni 0.000 0.500 0.000  0.22
Si 0.500 0.500 0.500  -0.06
W 0.000 0.000 0.000  1.69
Li 0.000 0.000 0.500  0.08
Li 0.500 0.000 0.000  0.10

Summary of M_tot in μB/f.u.
0.00, 0.00, 0.00, 2.00, 0.00, 0.00, 2.00, 0.00, 0.59, 0.00, 0.00, 2.35
(order as listed above)
Summary of E in Ry per atom
-0.2336, -0.5491, -0.2719, -0.3433, -0.7830, -0.2380, -0.4339, -0.3739, -0.2950, -0.3536, -0.4039, -0.2928
(order as listed above)